ZnCoSnS4: optimized geometry, PBE.

```
ZnCoSnS4
1.0
7.2359 0.0000 0.0000
3.6179 6.2308 -0.0079
3.6179 1.8906 5.9370
Sn S Zn Co
2 8 2 2
direct
0.0000 0.5000 0.5000
0.0000 0.0000 0.0000
0.2715 0.2284 0.7284
0.2517 0.7851 0.7116
0.7285 0.7716 0.2716
0.7483 0.2149 0.2884
0.2282 0.7716 0.2716
0.7718 0.2284 0.7284
0.2517 0.2116 0.2851
0.7483 0.7884 0.7149
0.3629 0.3871 0.8871
0.6371 0.6129 0.1129
0.5000 0.0000 0.5000
0.0000 0.0000 0.5000
```

CaErTm2Sb4: optimized geometry, PBE.

```
CaErTm2Sb4
1.0
4.3488 0.0000 0.0000
0.0000 7.6170 -0.1792
0.0000 2.6529 7.1420
Tm Sb Er Ca
2 4 1 1
direct
0.5000 0.0000 0.5000
0.0000 0.0000 0.0000
0.5000 0.7587 0.2421
0.5000 0.2413 0.7579
0.0000 0.2456 0.2472
0.0000 0.7544 0.7528
0.5000 0.5000 0.0000
0.0000 0.5000 0.5000
```

K2CrI4: optimized geometry, PBE.

```
K2CrI4
1.0
-0.5108 -0.4225 5.7114
2.1013 -5.3480 -0.2077
8.8925 0.2590 3.7087
K I Cr
2 4 1
direct
0.3640 0.3640 0.2719
0.6360 0.6360 0.7281
0.1611 0.1611 0.6778
0.8389 0.8389 0.3222
0.5000 0.0000 0.0000
0.0000 0.5000 0.0000
0.0000 0.0000 0.0000
```

Values from the calculation:
Distance to the lowest polymorph of the same formula, meV per atom: 0

BeCd4: optimized geometry, PBE.

```
BeCd4
1.0
4.8099 0.0000 0.0000
0.0000 4.8099 0.0000
0.0000 0.0000 4.8099
Cd Be
4 1
direct
0.0000 0.5000 0.5000
0.0000 0.0000 0.0000
0.5000 0.5000 0.0000
0.5000 0.0000 0.5000
0.5000 0.5000 0.5000
```

Values from the calculation:
Distance to the lowest polymorph of the same formula, meV per atom: 0
E_form, eV/atom: 0.27

Cs3K4RbCl8: optimized geometry, PBE.

```
Cs3K4RbCl8
1.0
9.4372 0.0000 0.0000
0.0000 9.4528 0.0079
-4.7186 -4.7138 6.6726
Cl Cs K Rb
8 3 4 1
direct
0.2406 0.2219 0.4812
0.7632 0.7709 0.0170
0.7594 0.7781 0.5188
0.2368 0.2291 0.9830
0.2542 0.7712 0.5085
0.7458 0.2288 0.4915
0.2538 0.7709 0.0170
0.7462 0.2291 0.9830
0.5000 0.5000 0.0000
0.0000 0.5000 0.5000
0.5000 0.5000 0.5000
0.0000 0.0000 0.0000
0.5000 0.0000 0.0000
0.0000 0.0000 0.5000
0.5000 0.0000 0.5000
0.0000 0.5000 0.0000
```

Dy3Ga4Pt7: optimized geometry, PBE.

```
Dy3Ga4Pt7
1.0
3.9799 0.0000 1.0040
1.4630 7.4579 2.5907
-0.0219 -0.0544 8.4769
Pt Ga Dy
7 4 3
direct
0.6903 0.1618 0.4576
0.0000 0.0000 0.0000
0.8375 0.3988 0.9262
0.3097 0.8382 0.5424
0.1625 0.6012 0.0738
0.5059 0.7748 0.2134
0.4941 0.2252 0.7866
0.1149 0.1073 0.6629
0.6633 0.4443 0.2290
0.3367 0.5557 0.7710
0.8851 0.8927 0.3371
0.3268 0.1782 0.1682
0.6732 0.8218 0.8318
0.0000 0.5000 0.5000
```

Values from the calculation:
E_form, eV/atom: -1.01

Zn2CoBr: optimized geometry, PBE.

```
Zn2CoBr
1.0
4.5729 0.0114 -0.0274
3.4529 2.9981 -0.0274
1.2061 0.4523 5.9374
Co Zn Br
1 2 1
direct
0.2197 0.2197 0.1492
0.6969 0.6969 0.8534
0.9534 0.9534 0.0354
0.6300 0.6300 0.4620
```

Values from the calculation:
Distance to the lowest polymorph of the same formula, meV per atom: 0

AcPr3Mg2: optimized geometry, PBE.

```
AcPr3Mg2
1.0
3.9064 0.0000 0.0000
0.0000 3.9064 0.0000
0.0000 0.0000 13.1556
Ac Mg Pr
1 2 3
direct
0.5000 0.5000 0.5000
0.5000 0.5000 0.1479
0.5000 0.5000 0.8521
0.0000 0.0000 0.7034
0.0000 0.0000 0.0000
0.0000 0.0000 0.2966
```

Values from the calculation:
E_form, eV/atom: -0.07

no.,electronic total energy (eV/atom)
1,-4.55
2,-5.00
3,-3.51
4,-1.21
5,-3.37
6,-5.89
7,-2.74
8,-3.68